Here is a relaxed structure of RbAg2Sb3 from Alexandria. Energies are from PBE-GGA.

a = 5.925 Å, b = 8.120 Å, c = 8.120 Å
α = 107.24°, β = 90.00°, γ = 90.00°
Fractional coordinates of all 12 atoms:
Sb 0.250 0.938 0.533
Ag 0.500 0.205 0.795
Sb 0.750 0.467 0.062
Sb 0.250 0.533 0.938
Rb 0.750 0.665 0.665
Sb 0.750 0.062 0.467
Ag 0.000 0.795 0.205
Ag 0.500 0.795 0.205
Rb 0.250 0.335 0.335
Ag 0.000 0.205 0.795
Sb 0.250 0.949 0.949
Sb 0.750 0.051 0.051

Summary:
Its density is 5.93 g cm⁻³. The raw formation energy is -0.04 eV per atom.

Here is a relaxed structure of Rb5AgSb2 from Alexandria. Energies are from PBE-GGA.

a = 6.290 Å, b = 6.290 Å, c = 10.680 Å
α = 72.87°, β = 72.87°, γ = 60.00°
Fractional coordinates of all 8 atoms:
Sb 0.910 0.910 0.270
Rb 0.368 0.368 0.896
Rb 0.500 0.500 0.500
Rb 0.632 0.632 0.104
Sb 0.090 0.090 0.730
Rb 0.217 0.217 0.349
Ag 0.000 0.000 0.000
Rb 0.783 0.783 0.651

Summary:
Its density is 3.76 g cm⁻³. The raw formation energy is -0.37 eV per atom.

Here is a relaxed structure of Rb3Ag2Sb4 from Alexandria. Energies are from PBE-GGA.

a = 5.175 Å, b = 7.158 Å, c = 10.262 Å
α = 102.62°, β = 90.00°, γ = 111.19°
Fractional coordinates of all 9 atoms:
Sb 0.111 0.222 0.686
Rb 0.617 0.235 0.384
Sb 0.889 0.778 0.314
Ag 0.673 0.347 0.754
Ag 0.327 0.653 0.246
Sb 0.725 0.449 0.063
Rb 0.000 0.000 0.000
Rb 0.383 0.765 0.616
Sb 0.275 0.551 0.937

Summary:
Its density is 4.62 g cm⁻³. The raw formation energy is -0.23 eV per atom.

Here is a relaxed structure of RbAgSb3 from Alexandria. Energies are from PBE-GGA.

a = 6.061 Å, b = 6.061 Å, c = 6.061 Å
α = 90.00°, β = 90.00°, γ = 90.00°
Fractional coordinates of all 5 atoms:
Sb 0.000 0.000 0.500
Ag 0.500 0.500 0.500
Rb 0.000 0.000 0.000
Sb 0.500 0.000 0.000
Sb 0.000 0.500 0.000

Summary:
Its density is 4.17 g cm⁻³. The raw formation energy is 1.54 eV per atom.

Here is a relaxed structure of Rb2AgSb2 from Alexandria. Energies are from PBE-GGA.

a = 7.548 Å, b = 7.548 Å, c = 6.072 Å
α = 90.00°, β = 90.00°, γ = 90.00°
Fractional coordinates of all 10 atoms:
Rb 0.832 0.332 0.500
Ag 0.500 0.500 0.000
Sb 0.860 0.640 0.000
Rb 0.332 0.168 0.500
Sb 0.640 0.140 0.000
Ag 0.000 0.000 0.000
Sb 0.140 0.360 0.000
Rb 0.668 0.832 0.500
Rb 0.168 0.668 0.500
Sb 0.360 0.860 0.000

Summary:
Its density is 5.01 g cm⁻³. The raw formation energy is -0.24 eV per atom.

Here is a relaxed structure of Rb2Ag2Sb from Alexandria. Energies are from PBE-GGA.

a = 7.561 Å, b = 7.561 Å, c = 5.711 Å
α = 90.00°, β = 90.00°, γ = 90.00°
Fractional coordinates of all 10 atoms:
Rb 0.683 0.817 0.500
Rb 0.317 0.183 0.500
Ag 0.866 0.634 0.000
Rb 0.183 0.683 0.500
Sb 0.000 0.000 0.000
Ag 0.366 0.866 0.000
Sb 0.500 0.500 0.000
Rb 0.817 0.317 0.500
Ag 0.134 0.366 0.000
Ag 0.634 0.134 0.000

Summary:
Its density is 5.17 g cm⁻³. The raw formation energy is -0.09 eV per atom.

Here is a relaxed structure of RbAgSb2 from Alexandria. Energies are from PBE-GGA.

a = 5.461 Å, b = 5.461 Å, c = 5.461 Å
α = 60.00°, β = 60.00°, γ = 60.00°
Fractional coordinates of all 4 atoms:
Rb 0.000 0.000 0.000
Sb 0.250 0.250 0.250
Ag 0.500 0.500 0.500
Sb 0.750 0.750 0.750

Summary:
Its density is 6.30 g cm⁻³. The raw formation energy is 0.25 eV per atom.

Here is a relaxed structure of Rb2AgSb2 from Alexandria. Energies are from PBE-GGA.

a = 5.213 Å, b = 5.213 Å, c = 8.455 Å
α = 72.04°, β = 72.04°, γ = 90.00°
Fractional coordinates of all 5 atoms:
Rb 0.250 0.750 0.500
Sb 0.412 0.412 0.176
Sb 0.588 0.588 0.824
Ag 0.000 0.000 0.000
Rb 0.750 0.250 0.500

Summary:
Its density is 4.20 g cm⁻³. The raw formation energy is 0.33 eV per atom.

Here is a relaxed structure of RbAg2Sb2 from Alexandria. Energies are from PBE-GGA.

a = 7.593 Å, b = 6.823 Å, c = 8.046 Å
α = 79.39°, β = 70.63°, γ = 56.24°
Fractional coordinates of all 10 atoms:
Ag 0.562 0.378 0.250
Sb 0.423 0.267 0.020
Sb 0.189 0.733 0.519
Ag 0.438 0.622 0.750
Sb 0.811 0.267 0.481
Rb 0.127 0.245 0.750
Rb 0.873 0.755 0.250
Ag 0.769 0.962 0.750
Sb 0.577 0.733 0.980
Ag 0.231 0.038 0.250

Summary:
Its density is 5.53 g cm⁻³. The raw formation energy is -0.10 eV per atom.

Here is a relaxed structure of Rb2Ag3Sb5 from Alexandria. Energies are from PBE-GGA.

a = 7.092 Å, b = 9.928 Å, c = 9.928 Å
α = 73.14°, β = 69.07°, γ = 69.07°
Fractional coordinates of all 20 atoms:
Ag 0.872 0.745 0.512
Rb 0.374 0.871 0.380
Ag 0.128 0.255 0.488
Sb 0.011 0.239 0.239
Rb 0.874 0.380 0.871
Sb 0.511 0.239 0.239
Sb 0.614 0.746 0.026
Ag 0.250 0.000 0.000
Rb 0.626 0.129 0.620
Ag 0.372 0.512 0.745
Ag 0.750 0.000 0.000
Sb 0.250 0.500 0.500
Sb 0.489 0.761 0.761
Sb 0.750 0.500 0.500
Rb 0.126 0.620 0.129
Sb 0.114 0.026 0.746
Ag 0.628 0.488 0.255
Sb 0.886 0.974 0.254
Sb 0.386 0.254 0.974
Sb 0.989 0.761 0.761

Summary:
Its density is 6.12 g cm⁻³. The raw formation energy is -0.16 eV per atom.

Here is a relaxed structure of RbAg6Sb2 from Alexandria. Energies are from PBE-GGA.

a = 4.793 Å, b = 4.793 Å, c = 9.807 Å
α = 90.00°, β = 90.00°, γ = 90.00°
Fractional coordinates of all 9 atoms:
Sb 0.500 0.500 0.813
Ag 0.500 0.500 0.500
Ag 0.000 0.000 0.500
Ag 0.500 0.000 0.667
Ag 0.000 0.500 0.333
Ag 0.000 0.500 0.667
Sb 0.500 0.500 0.187
Ag 0.500 0.000 0.333
Rb 0.000 0.000 0.000

Summary:
Its density is 7.20 g cm⁻³. The raw formation energy is -0.06 eV per atom.

Here is a relaxed structure of RbAg12Sb6 from Alexandria. Energies are from PBE-GGA.

a = 7.948 Å, b = 7.948 Å, c = 7.948 Å
α = 95.27°, β = 95.27°, γ = 95.27°
Fractional coordinates of all 19 atoms:
Ag 0.125 0.500 0.875
Sb 0.677 0.208 0.208
Ag 0.875 0.125 0.500
Sb 0.792 0.323 0.792
Ag 0.487 0.487 0.222
Ag 0.513 0.513 0.778
Ag 0.513 0.778 0.513
Sb 0.208 0.208 0.677
Ag 0.500 0.875 0.125
Ag 0.222 0.487 0.487
Ag 0.125 0.875 0.500
Ag 0.500 0.125 0.875
Sb 0.792 0.792 0.323
Ag 0.875 0.500 0.125
Sb 0.323 0.792 0.792
Sb 0.208 0.677 0.208
Ag 0.778 0.513 0.513
Ag 0.487 0.222 0.487
Rb 0.000 0.000 0.000

Summary:
Its density is 7.08 g cm⁻³. The raw formation energy is 0.07 eV per atom.

Here is a relaxed structure of RbAg3Sb2 from Alexandria. Energies are from PBE-GGA.

a = 4.709 Å, b = 9.068 Å, c = 8.618 Å
α = 111.02°, β = 90.00°, γ = 105.05°
Fractional coordinates of all 12 atoms:
Ag 0.584 0.168 0.653
Ag 0.309 0.618 0.540
Ag 0.972 0.943 0.639
Sb 0.823 0.646 0.344
Sb 0.177 0.354 0.656
Ag 0.691 0.382 0.460
Ag 0.416 0.832 0.347
Sb 0.470 0.941 0.818
Rb 0.160 0.320 0.072
Ag 0.028 0.057 0.361
Rb 0.840 0.680 0.928
Sb 0.530 0.059 0.182

Summary:
Its density is 6.57 g cm⁻³. The raw formation energy is -0.13 eV per atom.

Here is a relaxed structure of Rb2AgSb2 from Alexandria. Energies are from PBE-GGA.

a = 5.323 Å, b = 6.764 Å, c = 11.072 Å
α = 81.93°, β = 76.09°, γ = 66.83°
Fractional coordinates of all 10 atoms:
Sb 0.093 0.270 0.543
Rb 0.679 0.331 0.312
Rb 0.912 0.291 0.885
Rb 0.321 0.669 0.688
Sb 0.612 0.887 0.889
Ag 0.360 0.917 0.362
Sb 0.907 0.730 0.457
Ag 0.640 0.083 0.638
Rb 0.088 0.709 0.115
Sb 0.388 0.113 0.111

Summary:
Its density is 4.88 g cm⁻³. The raw formation energy is -0.26 eV per atom.

Here is a relaxed structure of RbAgSb2 from Alexandria. Energies are from PBE-GGA.

a = 5.692 Å, b = 5.692 Å, c = 10.489 Å
α = 74.25°, β = 74.25°, γ = 90.00°
Fractional coordinates of all 8 atoms:
Rb 0.500 0.500 0.000
Sb 0.947 0.625 0.250
Ag 0.000 0.000 0.000
Sb 0.375 0.197 0.750
Ag 0.750 0.250 0.500
Rb 0.250 0.750 0.500
Sb 0.803 0.125 0.250
Sb 0.875 0.053 0.750

Summary:
Its density is 4.62 g cm⁻³. The raw formation energy is -0.03 eV per atom.

Here is a relaxed structure of RbAg2Sb2 from Alexandria. Energies are from PBE-GGA.

a = 9.158 Å, b = 9.158 Å, c = 3.191 Å
α = 90.00°, β = 90.00°, γ = 90.00°
Fractional coordinates of all 10 atoms:
Sb 0.643 0.143 0.000
Rb 0.500 0.500 0.000
Sb 0.357 0.857 0.000
Ag 0.853 0.353 0.500
Ag 0.147 0.647 0.500
Rb 0.000 0.000 0.000
Ag 0.647 0.853 0.500
Sb 0.143 0.357 0.000
Sb 0.857 0.643 0.000
Ag 0.353 0.147 0.500

Summary:
Its density is 6.76 g cm⁻³. The raw formation energy is 0.00 eV per atom.

Here is a relaxed structure of Rb3AgSb from Alexandria. Energies are from PBE-GGA.

a = 6.999 Å, b = 6.999 Å, c = 6.999 Å
α = 90.00°, β = 90.00°, γ = 90.00°
Site moments in Bohr magnetons follow the coordinates.
Fractional coordinates of all 5 atoms:
Rb 0.000 0.000 0.500  0.02
Sb 0.000 0.000 0.000  0.30
Ag 0.500 0.500 0.500  0.01
Rb 0.000 0.500 0.000  0.01
Rb 0.500 0.000 0.000  0.01

Summary:
Its density is 2.35 g cm⁻³. The raw formation energy is 0.06 eV per atom.

Here is a relaxed structure of Rb2AgSb from Alexandria. Energies are from PBE-GGA.

a = 5.104 Å, b = 6.777 Å, c = 6.777 Å
α = 57.03°, β = 67.88°, γ = 67.88°
Fractional coordinates of all 4 atoms:
Rb 0.062 0.848 0.029
Sb 0.250 0.156 0.344
Rb 0.438 0.471 0.652
Ag 0.750 0.025 0.475

Summary:
Its density is 3.74 g cm⁻³. The raw formation energy is -0.30 eV per atom.

Here is a relaxed structure of Rb2Ag12Sb7 from Alexandria. Energies are from PBE-GGA.

a = 4.905 Å, b = 11.014 Å, c = 11.014 Å
α = 120.00°, β = 90.00°, γ = 90.00°
Fractional coordinates of all 21 atoms:
Sb 0.697 0.603 0.897
Ag 0.173 0.748 0.873
Rb 0.766 0.667 0.333
Ag 0.827 0.873 0.125
Sb 0.697 0.295 0.397
Sb 0.500 0.000 0.000
Ag 0.196 0.429 0.377
Ag 0.804 0.571 0.623
Ag 0.173 0.127 0.875
Sb 0.303 0.397 0.103
Ag 0.804 0.377 0.948
Ag 0.196 0.623 0.052
Ag 0.196 0.948 0.571
Sb 0.697 0.103 0.705
Sb 0.303 0.897 0.295
Ag 0.804 0.052 0.429
Sb 0.303 0.705 0.603
Rb 0.234 0.333 0.667
Ag 0.173 0.125 0.252
Ag 0.827 0.875 0.748
Ag 0.827 0.252 0.127

Summary:
Its density is 7.47 g cm⁻³. The raw formation energy is -0.03 eV per atom.

Here is a relaxed structure of Rb2AgSbSe4 from Alexandria. Energies are from PBE-GGA.

a = 6.559 Å, b = 7.833 Å, c = 13.144 Å
α = 84.00°, β = 75.55°, γ = 65.25°
Fractional coordinates of all 16 atoms:
Rb 0.566 0.500 0.868
Rb 0.934 0.500 0.132
Se 0.868 0.712 0.610
Se 0.882 0.788 0.890
Se 0.560 0.212 0.110
Se 0.330 0.788 0.110
Se 0.228 0.212 0.890
Se 0.420 0.712 0.390
Sb 0.250 0.500 0.500
Ag 0.750 0.500 0.500
Ag 0.000 0.000 0.000
Rb 0.816 0.000 0.368
Rb 0.184 0.000 0.632
Sb 0.500 0.000 0.000
Se 0.522 0.288 0.610
Se 0.190 0.288 0.390

Summary:
Its density is 4.01 g cm⁻³. The raw formation energy is -0.57 eV per atom.

Here is a relaxed structure of Rb2Ag2SbSe4 from Alexandria. Energies are from PBE-GGA.

a = 4.233 Å, b = 8.355 Å, c = 8.202 Å
α = 109.99°, β = 90.00°, γ = 104.68°
Fractional coordinates of all 9 atoms:
Se 0.485 0.970 0.230
Rb 0.134 0.269 0.564
Se 0.810 0.620 0.814
Sb 0.000 0.000 0.000
Ag 0.688 0.375 0.981
Ag 0.312 0.625 0.019
Se 0.190 0.380 0.186
Se 0.515 0.030 0.770
Rb 0.866 0.731 0.436

Summary:
Its density is 5.21 g cm⁻³. The raw formation energy is -0.53 eV per atom.

Here is a relaxed structure of RbAgSb2Se4 from Alexandria. Energies are from PBE-GGA.

a = 4.288 Å, b = 7.361 Å, c = 15.452 Å
α = 90.00°, β = 90.00°, γ = 106.93°
Fractional coordinates of all 16 atoms:
Se 0.433 0.865 0.750
Sb 0.632 0.264 0.060
Ag 0.165 0.331 0.250
Rb 0.115 0.230 0.750
Se 0.567 0.135 0.250
Ag 0.835 0.669 0.750
Se 0.265 0.530 0.099
Se 0.735 0.470 0.599
Se 0.265 0.530 0.401
Se 0.000 0.000 0.000
Sb 0.368 0.736 0.560
Sb 0.632 0.264 0.440
Rb 0.885 0.770 0.250
Sb 0.368 0.736 0.940
Se 0.000 0.000 0.500
Se 0.735 0.470 0.901

Summary:
Its density is 5.36 g cm⁻³. The raw formation energy is -0.40 eV per atom.